{
  "formula": "Ca2Al4Zn3Sn",
  "functional": "PBE",
  "state": "optimized geometry",
  "n_ef_per_ev_fu": 2.766,
  "sg": "P-4m2, No. 115",
  "density_g_cm3": 4.0,
  "total_energy_ev_per_atom": -2.921,
  "lattice_angstrom": [[4.266, 0.000, 0.000], [0.000, 4.266, 0.000], [0.000, 0.000, 11.441]],
  "species": ["Ca", "Ca", "Al", "Al", "Al", "Al", "Zn", "Zn", "Zn", "Sn"],
  "fractional_positions": [[0.000, 0.500, 0.240], [0.500, 0.000, 0.760], [0.000, 0.000, 0.000], [0.000, 0.500, 0.649], [0.500, 0.000, 0.351], [0.500, 0.500, 0.000], [0.000, 0.500, 0.866], [0.500, 0.000, 0.134], [0.500, 0.500, 0.500], [0.000, 0.000, 0.500]]
}